PmNi2PbO6 after structural relaxation. Source: Alexandria via LeMat-Bulk, functional PBE+U. Values from VASP.

VASP energy: -5.8171 eV per atom
Calculated density: 8.0 g/cm³
Size of the total moment: 0.30 μB per atom

Quantum ESPRESSO input file:
```
&SYSTEM
  ibrav = 0, nat = 10, ntyp = 4
/
ATOMIC_SPECIES
Pm 145.00 Pm.upf
Ni 58.69 Ni.upf
Pb 207.20 Pb.upf
O 16.00 O.upf
ATOMIC_POSITIONS angstrom
Pm 8.231 5.066 3.357
Ni 5.438 3.408 2.154
Ni 2.727 1.737 4.321
Pb 2.550 1.565 1.079
O 4.669 1.786 0.810
O 4.124 4.574 1.311
O 6.821 3.667 0.779
O 5.992 5.214 3.094
O 6.703 2.195 2.902
O 4.202 2.994 3.611
CELL_PARAMETERS angstrom
5.354 0.089 -0.006
2.750 4.925 0.135
2.728 1.760 4.549
```